Entry 1:
The following is a PBE-GGA calculation of Na3Cd2Ag after structural relaxation, from Alexandria via LeMat-Bulk.

```
12
Lattice="5.236 -5.211 0.000 5.236 5.211 0.000 0.000 0.000 5.932" Properties=species:S:1:pos:R:3 pbc="T T T"
Na 3.614 2.609 1.483
Na 5.236 4.042 4.449
Na 6.858 2.609 1.483
Na 3.614 -2.609 4.449
Na 5.236 -4.042 1.483
Na 6.858 -2.609 4.449
Cd 2.743 0.000 0.000
Cd 2.743 0.000 2.966
Cd 7.728 0.000 0.000
Cd 7.728 0.000 2.966
Ag 5.236 0.388 4.449
Ag 5.236 -0.388 1.483
```

Summary:
Magnetization ... 0.0 μB per formula unit
ΔE to the lowest computed polymorph ... 26 meV/atom
Symmetry ... Cmcm (63)
E_tot ... -1.470 eV per atom
D(E_F) ... 2.1 states/eV/f.u.

Entry 2:
The following is a PBE-GGA calculation of Na3Cd8Ag3 after structural relaxation, from Alexandria via LeMat-Bulk.

```
14
Lattice="-2.443 5.504 6.092 2.443 -5.504 6.092 2.443 5.504 -6.092" Properties=species:S:1:pos:R:3 pbc="T T T"
Na 0.000 0.000 0.000
Na 0.000 0.000 3.461
Na 0.000 0.000 8.722
Cd 2.443 1.459 -1.603
Cd 2.443 -2.382 4.455
Cd 2.443 1.459 1.603
Cd 0.000 3.122 1.637
Cd 2.443 2.382 4.455
Cd 0.000 4.046 4.488
Cd 0.000 7.886 1.637
Cd 0.000 4.046 7.695
Ag 2.443 3.960 0.000
Ag 0.000 5.504 0.000
Ag 0.000 1.545 6.092
```

Summary:
Magnetization ... 0.0 μB per formula unit
Symmetry ... Immm (71)
E_tot ... -1.488 eV per atom
D(E_F) ... 4.2 states/eV/f.u.

Entry 3:
The following is a PBE-GGA calculation of NaCd6Ag6 after structural relaxation, from Alexandria via LeMat-Bulk.

```
13
Lattice="-2.851 4.865 4.946 2.851 -4.865 4.946 2.851 4.865 -4.946" Properties=species:S:1:pos:R:3 pbc="T T T"
Na 0.000 0.000 0.000
Cd 2.851 0.000 1.817
Cd 0.000 3.327 0.000
Cd 0.000 0.000 3.399
Cd 0.000 0.000 6.492
Cd 0.000 6.404 0.000
Cd 0.000 4.865 3.128
Ag 1.426 2.433 -2.473
Ag 1.426 -2.433 2.473
Ag 2.851 2.282 0.000
Ag -1.426 2.433 2.473
Ag 1.426 2.433 2.473
Ag 0.000 2.584 4.946
```

Summary:
Magnetization ... 0.0 μB per formula unit
Symmetry ... Immm (71)
E_tot ... -1.913 eV per atom
D(E_F) ... 3.7 states/eV/f.u.

Entry 4:
The following is a PBE-GGA calculation of Na7Cd2Ag2 after structural relaxation, from Alexandria via LeMat-Bulk.

```
11
Lattice="4.193 -4.653 0.000 4.193 4.653 0.000 -1.816 0.000 7.680" Properties=species:S:1:pos:R:3 pbc="T T T"
Na 0.000 0.000 0.000
Na 0.864 1.850 6.082
Na 0.593 0.000 3.309
Na 0.864 -1.850 6.082
Na 5.707 1.850 1.597
Na 5.977 0.000 4.371
Na 5.707 -1.850 1.597
Cd 3.165 0.000 1.206
Cd 3.406 0.000 6.474
Ag 3.285 1.479 3.840
Ag 3.285 -1.479 3.840
```

Summary:
Magnetization ... 0.0 μB per formula unit
ΔE to the lowest computed polymorph ... 0 meV/atom
Symmetry ... C2/m (12)
E_tot ... -1.554 eV per atom
D(E_F) ... 4.3 states/eV/f.u.

Entry 5:
The following is a PBE-GGA calculation of Na2Cd2Ag after structural relaxation, from Alexandria via LeMat-Bulk.

```
10
Lattice="8.902 0.000 0.000 0.000 8.902 0.000 0.000 0.000 3.210" Properties=species:S:1:pos:R:3 pbc="T T T"
Na 1.590 2.861 0.000
Na 2.861 7.313 0.000
Na 6.041 1.590 0.000
Na 7.313 6.041 0.000
Cd 1.059 5.510 1.605
Cd 3.392 1.059 1.605
Cd 5.510 7.843 1.605
Cd 7.843 3.392 1.605
Ag 0.000 0.000 0.000
Ag 4.451 4.451 0.000
```

Summary:
Magnetization ... 0.0 μB per formula unit
ΔE to the lowest computed polymorph ... 200 meV/atom
Symmetry ... P4/mbm (127)
E_tot ... -1.339 eV per atom
D(E_F) ... 1.2 states/eV/f.u.

Entry 6:
The following is a PBE-GGA calculation of NaCd4Ag5 after structural relaxation, from Alexandria via LeMat-Bulk.

```
10
Lattice="-4.650 4.650 2.618 4.650 -4.650 2.618 4.650 4.650 -2.618" Properties=species:S:1:pos:R:3 pbc="T T T"
Na 0.000 0.000 0.000
Cd 6.076 2.192 -0.179
Cd 2.192 3.224 -0.179
Cd 2.458 1.426 2.439
Cd -1.426 2.458 2.439
Ag 3.493 0.737 -0.179
Ag 3.913 -1.157 2.439
Ag 0.000 0.000 2.622
Ag 0.737 5.807 -0.179
Ag 1.157 3.913 2.439
```

Summary:
Magnetization ... 0.0 μB per formula unit
ΔE to the lowest computed polymorph ... 119 meV/atom
Symmetry ... I4 (79)
E_tot ... -1.843 eV per atom
D(E_F) ... 4.0 states/eV/f.u.

Q: Which of these has the highest D(E_F)?
A: Na7Cd2Ag2